[1]
# GdPuNi, relaxed, DFT PBE
# Final energy in eV/cell: -33.934
# Calculated formation energy in eV/atom: 0.09
# Crystal system: trigonal
# Offset from the most stable computed form in meV per atom: 135
data_GdPuNi
_cell_length_a 4.6074
_cell_length_b 4.6074
_cell_length_c 3.6025
_cell_angle_alpha 90.00
_cell_angle_beta 90.00
_cell_angle_gamma 120.00
_symmetry_space_group_name_H-M 'P 3 m 1'
_symmetry_Int_Tables_number 156
loop_
_symmetry_equiv_pos_as_xyz
'x,y,z'
'-y,x-y,z'
'-x+y,-x,z'
'-y,-x,z'
'-x+y,y,z'
'x,x-y,z'
loop_
_atom_site_label
_atom_site_fract_x
_atom_site_fract_y
_atom_site_fract_z
Gd1 0.0000 0.0000 0.0000
Pu1 0.3333 0.6667 0.4351
Ni1 0.6667 0.3333 0.6459

---

[2]
# GdPuNi2, relaxed, DFT PBE
# Final energy in eV/cell: -162.274
# Calculated formation energy in eV/atom: -0.15
# Crystal system: cubic
# Offset from the most stable computed form in meV per atom: 21
data_GdPuNi2
_cell_length_a 6.7712
_cell_length_b 6.7712
_cell_length_c 6.7712
_cell_angle_alpha 90.00
_cell_angle_beta 90.00
_cell_angle_gamma 90.00
_symmetry_space_group_name_H-M 'F m -3 m'
_symmetry_Int_Tables_number 225
_symmetry_space_group_name_Hall '-F 4 2 3'
loop_
_atom_site_label
_atom_site_fract_x
_atom_site_fract_y
_atom_site_fract_z
Gd1 0.0000 0.0000 0.0000
Pu1 0.0000 0.0000 0.5000
Ni1 0.2500 0.2500 0.2500

---

[3]
# GdPuNi2, relaxed, DFT PBE
# Final energy in eV/cell: -40.653
# Calculated formation energy in eV/atom: -0.17
# Crystal system: tetragonal
# Offset from the most stable computed form in meV per atom: 0
data_GdPuNi2
_cell_length_a 4.8244
_cell_length_b 4.8244
_cell_length_c 3.3135
_cell_angle_alpha 90.00
_cell_angle_beta 90.00
_cell_angle_gamma 90.00
_symmetry_space_group_name_H-M 'P 4/m m m'
_symmetry_Int_Tables_number 123
_symmetry_space_group_name_Hall '-P 4 2'
loop_
_atom_site_label
_atom_site_fract_x
_atom_site_fract_y
_atom_site_fract_z
Gd1 0.0000 0.0000 0.0000
Pu1 0.5000 0.5000 0.0000
Ni1 0.0000 0.5000 0.5000

---

[4]
# GdPuNi, relaxed, DFT PBE
# Final energy in eV/cell: -68.676
# Calculated formation energy in eV/atom: -0.05
# Crystal system: tetragonal
# Offset from the most stable computed form in meV per atom: 0
data_GdPuNi
_cell_length_a 3.4039
_cell_length_b 3.4039
_cell_length_c 11.9925
_cell_angle_alpha 90.00
_cell_angle_beta 90.00
_cell_angle_gamma 90.00
_symmetry_space_group_name_H-M 'I 4 m m'
_symmetry_Int_Tables_number 107
_symmetry_space_group_name_Hall 'I 4 -2'
loop_
_atom_site_label
_atom_site_fract_x
_atom_site_fract_y
_atom_site_fract_z
Gd1 0.0000 0.0000 0.0000
Pu1 0.0000 0.0000 0.2709
Ni1 0.0000 0.0000 0.6333

---

[5]
# GdThReNi, relaxed, DFT PBE
# Final energy in eV/cell: -159.740
# Calculated formation energy in eV/atom: -0.05
# Crystal system: cubic
data_GdThReNi
_cell_length_a 6.9830
_cell_length_b 6.9830
_cell_length_c 6.9830
_cell_angle_alpha 90.00
_cell_angle_beta 90.00
_cell_angle_gamma 90.00
_symmetry_space_group_name_H-M 'F -4 3 m'
_symmetry_Int_Tables_number 216
_symmetry_space_group_name_Hall 'F -4 2 3'
loop_
_atom_site_label
_atom_site_fract_x
_atom_site_fract_y
_atom_site_fract_z
Gd1 0.0000 0.0000 0.0000
Th1 0.0000 0.0000 0.5000
Re1 0.2500 0.2500 0.7500
Ni1 0.2500 0.2500 0.2500

---

[6]
# Gd2NiRh, relaxed, DFT PBE
# Final energy in eV/cell: -43.562
# Calculated formation energy in eV/atom: -0.57
# Crystal system: tetragonal
data_Gd2NiRh
_cell_length_a 3.4413
_cell_length_b 3.4413
_cell_length_c 6.8892
_cell_angle_alpha 90.00
_cell_angle_beta 90.00
_cell_angle_gamma 90.00
_symmetry_space_group_name_H-M 'P 4/m m m'
_symmetry_Int_Tables_number 123
_symmetry_space_group_name_Hall '-P 4 2'
loop_
_atom_site_label
_atom_site_fract_x
_atom_site_fract_y
_atom_site_fract_z
Gd1 0.0000 0.0000 0.2496
Ni1 0.5000 0.5000 0.0000
Rh1 0.5000 0.5000 0.5000